Entry 1:
! Nb3IBr | Alexandria via LeMat-Bulk | PBE | optimized geometry; values from VASP
! total magnetization: 0.000 μB/atom
! Fermi-level density of states: 1.56 states/eV/atom
! formation energy without anion corrections: 1780 meV/atom
! SG: Pm-3m (221)
! E: -4.907 eV per atom
&SYSTEM
  ibrav = 0, nat = 5, ntyp = 3
/
ATOMIC_SPECIES
Nb 92.91 Nb.upf
Br 79.90 Br.upf
I 126.90 I.upf
ATOMIC_POSITIONS crystal
Nb 0.0000 0.0000 0.5000
Nb 0.5000 0.0000 0.0000
Nb 0.0000 0.5000 0.0000
Br 0.5000 0.5000 0.5000
I 0.0000 0.0000 0.0000
CELL_PARAMETERS angstrom
5.0916 0.0000 0.0000
0.0000 5.0916 0.0000
0.0000 0.0000 5.0916

Entry 2:
! NbIBr2 | Alexandria via LeMat-Bulk | PBE | optimized geometry; values from VASP
! total magnetization: 0.000 μB/atom
! Fermi-level density of states: 0.30 states/eV/atom
! formation energy without anion corrections: -671 meV/atom
! SG: P2_1/c (14)
! E: -4.412 eV per atom
&SYSTEM
  ibrav = 0, nat = 16, ntyp = 3
/
ATOMIC_SPECIES
I 126.90 I.upf
Br 79.90 Br.upf
Nb 92.91 Nb.upf
ATOMIC_POSITIONS crystal
I 0.4261 0.7488 0.7455
I 0.5739 0.2512 0.2545
I 0.0739 0.2488 0.7545
I 0.9261 0.7512 0.2455
Br 0.0907 0.2309 0.0855
Br 0.5907 0.2691 0.5855
Br 0.0814 0.1993 0.4180
Br 0.4093 0.7309 0.4145
Br 0.9093 0.7691 0.9145
Br 0.4186 0.6993 0.0820
Br 0.9186 0.8007 0.5820
Br 0.5814 0.3007 0.9180
Nb 0.1916 0.5041 0.9352
Nb 0.8084 0.4959 0.0648
Nb 0.3084 0.0041 0.5648
Nb 0.6916 0.9959 0.4352
CELL_PARAMETERS angstrom
6.3410 0.0000 0.1996
0.0000 6.7385 0.0000
0.4033 0.0000 11.4482

Among the records above, which one has the lowest E?
Nb3IBr